## TmAlAs2O8 (PBE)

Data for TmAlAs2O8 after structural relaxation.

Lattice parameters (Å, degrees): 5.7044 5.7044 5.7044 106.90 106.90 114.75
Fractional positions:
Tm 0.2500 0.7500 0.5000
Al 0.0000 0.0000 0.0000
As 0.7500 0.2500 0.5000
As 0.5000 0.5000 0.0000
O 0.3736 0.0678 0.3058
O 0.3050 0.4845 0.1795
O 0.3050 0.1256 0.8205
O 0.7621 0.0678 0.6942
O 0.8744 0.6950 0.1795
O 0.9322 0.2379 0.3058
O 0.9322 0.6264 0.6942
O 0.5155 0.6950 0.8205

Computed properties:
As for the space group: I-4m2 (119). As for the formation energy from raw total energies: -1.98 eV per atom. Its density of states at the Fermi level is 0.000 states/eV/cell.